[1]
28
Lattice="-4.4306 5.4528 0.0371 -4.8090 -3.9446 5.4437 6.2485 5.0370 5.8995" Properties=species:S:1:pos:R:3 comment="SrHg2Cl2O2 | the Alexandria database | meta-GGA SCAN | single point on PBEsol structure" formation_energy_uncorrected_kcal_per_mol_atoms=-32.56 total_energy_ev_per_cell=-787.637 volume_a3_per_fu=141 dos_ef_per_ev_atom=0.00 space_group="No. 14" pbc="T T T"
Sr -2.8157 1.1026 6.1523
Sr -0.1755 5.4425 5.2280
Sr 3.8574 4.1851 6.3706
Sr -6.8486 2.3600 5.0097
Hg -2.2201 4.1969 10.4446
Hg -4.5746 4.6970 8.3465
Hg 0.6577 4.4194 8.7192
Hg -3.6425 4.5154 4.7789
Hg -0.7710 2.3482 0.9357
Hg 0.6513 2.0297 6.6014
Hg 1.5834 1.8481 3.0338
Hg -3.6488 2.1257 2.6611
Cl -1.9807 3.7831 7.2436
Cl -2.5980 -0.4968 3.6407
Cl -1.0105 2.7620 4.1368
Cl 1.0287 1.6844 9.7973
Cl -4.0198 4.8607 1.5831
Cl -5.3109 1.7991 7.5066
Cl -0.3932 7.0419 7.7396
Cl 2.3198 4.7460 3.8737
O 1.3865 3.9673 6.8266
O -0.4784 0.2652 6.5491
O -3.5315 -1.2752 6.5936
O -2.5127 6.2799 4.8313
O 0.5404 7.8203 4.7867
O 3.5188 6.6409 6.7898
O -4.3776 2.5778 4.5537
O -6.5099 -0.0958 4.5905

***

[2]
3
Lattice="-2.4208 -0.7662 -1.2343 -0.2431 -2.7613 -1.0380 -3.8783 -2.6423 6.0174" Properties=species:S:1:pos:R:3 comment="HgOsCl | the Alexandria database | meta-GGA SCAN | single point on PBEsol structure" formation_energy_uncorrected_kcal_per_mol_atoms=16.67 total_energy_ev_per_cell=-145.855 volume_a3_per_fu=55 dos_ef_per_ev_atom=0.54 space_group="No. 42" pbc="T T T"
Os -4.2733 -2.3349 3.3725
Hg -2.1823 -1.2061 1.7998
Cl -3.7218 -2.5097 5.6282

***

[3]
5
Lattice="-0.6538 0.7221 -4.3979 2.9629 -3.2500 -0.9741 -3.7814 -3.4462 -0.0038" Properties=species:S:1:pos:R:3 comment="HgP2OsCl | the Alexandria database | meta-GGA SCAN | single point on PBEsol structure" formation_energy_uncorrected_kcal_per_mol_atoms=9.75 total_energy_ev_per_cell=-166.708 volume_a3_per_fu=104 dos_ef_per_ev_atom=0.67 space_group="No. 123" pbc="T T T"
P 1.4814 -1.6250 -0.4871
P -0.3269 0.3611 -2.1989
Os 0.0000 0.0000 0.0000
Hg -0.7361 -2.9870 -2.6879
Cl -1.8907 -1.7231 -0.0019